## Sm2YPb3 (PBE)

Data for a relaxed structure of Sm2YPb3.

* calculated density: 9.2 g/cm³

Cell lengths 5.923, 8.654, 8.654 Å; angles 114.06, 103.64, 103.64 degrees
Positions (direct):
1 Pb 0.500 0.000 0.500
2 Sm 0.750 0.751 0.249
3 Y 0.250 0.584 0.416
4 Sm 0.250 0.917 0.083
5 Pb 0.496 0.336 0.171
6 Pb 0.504 0.664 0.829
7 Sm 0.750 0.083 0.917
8 Sm 0.250 0.249 0.751
9 Pb 0.996 0.171 0.336
10 Pb 0.000 0.500 0.000
11 Y 0.750 0.416 0.584
12 Pb 0.004 0.829 0.664

***

## GaSb2Ir (PBE)

Data for a relaxed structure of GaSb2Ir.

* calculated density: 7.4 g/cm³
* energy relative to the elements, uncorrected: 0.11 eV/atom

Cell lengths 6.164, 6.164, 7.412 Å; angles 65.43, 65.43, 90.00 degrees
Positions (direct):
1 Sb 0.375 0.349 0.750
2 Sb 0.875 0.901 0.750
3 Ga 0.500 0.500 0.000
4 Ga 0.250 0.750 0.500
5 Sb 0.651 0.125 0.250
6 Sb 0.099 0.625 0.250
7 Ir 0.750 0.250 0.500
8 Ir 0.000 0.000 0.000

***

## BaLa3Ru (PBE)

Data for a relaxed structure of BaLa3Ru.

* ΔE to the lowest computed polymorph: 0 meV/atom
* calculated density: 5.5 g/cm³

Cell lengths 4.192, 5.703, 8.286 Å; angles 90.00, 90.00, 90.00 degrees
Positions (direct):
1 La 0.500 0.500 0.000
2 La 0.000 0.000 0.230
3 Ba 0.500 0.500 0.500
4 Ru 0.500 0.000 0.000
5 La 0.000 0.000 0.770

***

## Ba2AgSn2 (PBE)

Data for a relaxed structure of Ba2AgSn2.

* ΔE to the lowest computed polymorph: 302 meV/atom
* calculated density: 5.5 g/cm³

Cell lengths 4.335, 4.335, 10.448 Å; angles 78.03, 78.03, 90.00 degrees
Positions (direct):
1 Ba 0.398 0.398 0.205
2 Ag 0.000 0.000 0.000
3 Sn 0.250 0.750 0.500
4 Ba 0.602 0.602 0.795
5 Sn 0.750 0.250 0.500

***

Let's list raw total energy in order: -59.81, -39.40, -26.72, -15.98 eV per cell.